Entry 1:
Entry from Alexandria via LeMat-Bulk: a geometry-optimized SmHo5Er6 structure (PBE-GGA).

Values from the calculation:
raw total energy	-4.562	eV/atom
formation energy	0.020	eV per atom
volume	30.85	A^3/atom
space-group type	C2/m, No. 12
total magnetic moment	0.0000	μB per atom

POSCAR file:
```
SmHo5Er6
1.0
-2.4780 4.3019 -3.5474
-5.7450 1.8048 0.9542
2.9260 9.5445 6.0443
Er Sm Ho
6 1 5
Cartesian
0.0684 8.1090 4.5505
0.3350 10.3742 1.8697
0.1130 3.4722 0.6272
-2.6276 5.5063 -0.2330
-2.6694 10.1449 3.6842
-5.3654 7.5421 -1.0994
0.0000 0.0000 0.0000
-2.5186 8.9586 0.3851
-2.7784 6.6926 3.0661
-5.4817 4.0712 -1.7290
-2.7413 2.0355 -0.8642
0.2240 6.9232 1.2485
```


Entry 2:
Entry from Alexandria via LeMat-Bulk: a geometry-optimized Er5Th2 structure (PBE-GGA).

Values from the calculation:
raw total energy	-5.254	eV/atom
formation energy	0.125	eV per atom
ΔE to the lowest computed polymorph	0.00	kJ/mol of atoms
volume	31.26	A^3/atom
space-group type	C2/m, No. 12
total magnetic moment	0.0000	μB per atom

POSCAR file:
```
Er5Th2
1.0
5.2877 0.2139 -1.5525
-2.8299 4.7254 -0.2787
0.2381 -0.3630 8.5667
Er Th
5 2
Cartesian
-0.1937 2.9253 3.0172
2.8896 1.6510 3.7183
-1.4149 2.3627 -0.1393
1.9759 4.4734 0.8785
0.7199 0.1029 5.8570
1.7128 1.0372 0.4834
0.9831 3.5390 6.2522
```


Entry 3:
Entry from Alexandria via LeMat-Bulk: a geometry-optimized LaGeAu structure (PBE-GGA).

Values from the calculation:
raw total energy	-4.955	eV/atom
formation energy	-0.681	eV per atom
volume	25.92	A^3/atom
space-group type	C2/m, No. 12
total magnetic moment	0.0000	μB per atom

POSCAR file:
```
LaGeAu
1.0
-0.3761 4.5296 0.4697
-0.7747 -1.7993 -5.4949
-6.0117 -0.7275 2.2025
La Au Ge
2 2 2
Cartesian
-2.0144 0.1916 -3.4607
-5.1480 1.8112 0.6380
-4.9678 -0.2317 -1.7432
-2.1946 2.2345 -1.0794
-4.5031 2.2124 -2.7142
-2.6594 -0.2095 -0.1085
```


Entry 4:
Entry from Alexandria via LeMat-Bulk: a geometry-optimized Pa3ReGe2 structure (PBE-GGA).

Values from the calculation:
raw total energy	-8.580	eV/atom
formation energy	-0.218	eV per atom
ΔE to the lowest computed polymorph	12.70	kJ/mol of atoms
volume	24.29	A^3/atom
space-group type	Immm, No. 71
total magnetic moment	0.0000	μB per atom

POSCAR file:
```
Pa3ReGe2
1.0
-3.0848 1.5956 4.6340
-4.7891 -6.4299 -0.9741
6.5036 -2.5478 1.5881
Pa Ge Re
6 4 2
Cartesian
-0.1169 -3.1496 4.6252
-5.1331 -4.0252 1.5848
-1.2534 -4.2325 0.6228
-2.7408 -0.8091 2.0752
1.1411 -1.0175 1.1100
-2.5114 -6.3646 4.1380
-0.2230 -0.3792 3.6007
-2.6175 -3.5942 3.1135
-1.1473 -7.0029 1.6474
1.2472 -3.7879 2.1345
-1.1984 -1.6069 -0.2419
-6.6755 -3.2274 3.9019
```


Entry 5:
Entry from Alexandria via LeMat-Bulk: a geometry-optimized TeIrN2Cl structure (PBE-GGA).

Values from the calculation:
raw total energy	-5.296	eV/atom
ΔE_f (raw)	0.804	eV/atom
ΔE to the lowest computed polymorph	0.00	kJ/mol of atoms
volume	17.43	A^3/atom
space-group type	P4/mmm, No. 123
total magnetic moment	0.0466	μB per atom

POSCAR file:
```
TeIrN2Cl
1.0
3.8508 0.0000 0.0000
0.0000 3.8508 0.0000
0.0000 0.0000 5.8777
Cl N Te Ir
1 2 1 1
Cartesian
1.9254 1.9254 2.9388
1.9254 0.0000 0.0000
0.0000 1.9254 0.0000
0.0000 0.0000 2.9388
0.0000 0.0000 0.0000
```


Entry 6:
Entry from Alexandria via LeMat-Bulk: a geometry-optimized KIn2Cl3 structure (PBE-GGA).

Values from the calculation:
raw total energy	-3.198	eV/atom
ΔE_f (raw)	-1.179	eV/atom
ΔE to the lowest computed polymorph	0.00	kJ/mol of atoms
volume	35.96	A^3/atom
space-group type	Fmm2, No. 42
total magnetic moment	0.0000	μB per atom

POSCAR file:
```
KIn2Cl3
1.0
-4.7419 0.7593 -0.3425
-0.8012 -4.7008 0.6635
2.3267 3.3447 9.0352
Cl In K
3 2 1
Cartesian
-0.2306 0.7498 4.9954
-2.8514 -1.6861 2.0425
-3.1476 -0.7695 8.1974
-0.0737 0.2937 1.9110
-2.9930 -1.2206 5.1268
-0.3766 1.2011 8.0373
```